DFT (PBE-GGA) results for a relaxed structure of Ag2As2Pt.

M_tot: 0.0000 μB/atom
symmetry: P4/mbm
N(E_F): 2.51 states/eV per cell
calculated total energy: -0.310 Ry per atom

Cell lengths 6.357, 6.357, 4.999 Å; angles 90.00, 90.00, 90.00 degrees
Fractional coordinates of all 10 atoms:
Ag 0.220 0.280 0.000
Ag 0.280 0.780 0.000
Ag 0.720 0.220 0.000
Ag 0.780 0.720 0.000
As 0.138 0.362 0.500
As 0.362 0.862 0.500
As 0.638 0.138 0.500
As 0.862 0.638 0.500
Pt 0.000 0.000 0.500
Pt 0.500 0.500 0.500